BaW4Se7 | PBE | relaxed

Cell: 16.4891 6.2017 5.4608 Å, 90.00 90.00 90.00°
Last column: nearest neighbours and their distance in Å.
Sites, in units of the cell vectors:
Ba: 0.0000 0.1405 0.0000  10 Se 3.26-3.55
Ba: 0.5000 0.8595 0.5000  10 Se 3.26-3.55
W: 0.1559 0.6625 0.6183  3 Se 2.48-2.52, 1 W 2.55
W: 0.2486 0.6557 0.0587  3 Se 2.48-2.64, 1 W 2.55
W: 0.2514 0.3443 0.5587  3 Se 2.48-2.64, 1 W 2.55
W: 0.3441 0.3375 0.1183  3 Se 2.48-2.52, 1 W 2.55
W: 0.6559 0.3375 0.1183  3 Se 2.48-2.52, 1 W 2.55
W: 0.7486 0.3443 0.5587  3 Se 2.48-2.64, 1 W 2.55
W: 0.7514 0.6557 0.0587  3 Se 2.48-2.64, 1 W 2.55
W: 0.8441 0.6625 0.6183  3 Se 2.48-2.52, 1 W 2.55
Se: 0.0000 0.8157 0.5299  2 W 2.78
Se: 0.0981 0.6495 0.0442  2 W 2.48-2.52
Se: 0.1030 0.2991 0.4939  2 W 2.49-2.51
Se: 0.2362 0.1001 0.9510  2 W 2.48-2.64
Se: 0.2638 0.8999 0.4510  2 W 2.48-2.64
Se: 0.3970 0.7009 0.9939  2 W 2.49-2.51
Se: 0.4019 0.3505 0.5442  2 W 2.48-2.52
Se: 0.5000 0.1843 0.0299  2 W 2.78
Se: 0.5981 0.3505 0.5442  2 W 2.48-2.52
Se: 0.6030 0.7009 0.9939  2 W 2.49-2.51
Se: 0.7362 0.8999 0.4510  2 W 2.48-2.64
Se: 0.7638 0.1001 0.9510  2 W 2.48-2.64
Se: 0.8970 0.2991 0.4939  2 W 2.49-2.51
Se: 0.9019 0.6495 0.0442  2 W 2.48-2.52

Results
* magnetization: 0.0 Bohr magnetons per cell
* uncorrected formation energy: -224 meV per atom